P) # PBE Sr2Tc2Sn, relaxed
data_Sr2Tc2Sn
_space_group_name_H-M_alt 'I 4/m m m'
_space_group_IT_number 139
_space_group_name_Hall '-I 4 2'
_cell_length_a 4.8452
_cell_length_b 4.8452
_cell_length_c 12.6914
_cell_angle_alpha 90.00
_cell_angle_beta 90.00
_cell_angle_gamma 90.00
loop_
_atom_site_label
_atom_site_fract_x
_atom_site_fract_y
_atom_site_fract_z
Sr1 0.0000 0.5000 0.2500
Tc1 0.0000 0.0000 0.0838
Sn1 0.0000 0.0000 0.5000
# M_tot, μB/atom: 0.760


Q) # PBE Sr2Tc2Sn, relaxed
data_Sr2Tc2Sn
_space_group_name_H-M_alt 'P 4/m b m'
_space_group_IT_number 127
_space_group_name_Hall '-P 4 2ab'
_cell_length_a 7.0445
_cell_length_b 7.0445
_cell_length_c 5.1508
_cell_angle_alpha 90.00
_cell_angle_beta 90.00
_cell_angle_gamma 90.00
loop_
_atom_site_label
_atom_site_fract_x
_atom_site_fract_y
_atom_site_fract_z
Sr1 0.1776 0.3224 0.0000
Tc1 0.1134 0.6134 0.5000
Sn1 0.0000 0.0000 0.5000
# M_tot, μB/atom: 0.000


Energies relative to the most stable structure, in meV/atom: P) 885; Q) 0.